{"formula": "TlNiBr2", "functional": "PBE", "state": "optimized geometry", "cell": [[-1.869, -0.003, 4.931], [1.445, 3.790, 3.369], [-3.484, 3.662, 1.501]], "species": ["Br", "Ni", "Tl", "Br"], "frac_coords": [[0.750, 0.750, 0.750], [0.000, 0.000, 0.000], [0.500, 0.500, 0.500], [0.250, 0.250, 0.250]], "relative_energy_ev_per_atom": 0.5022, "formation_energy_uncorrected_mev_per_atom": 148, "final_energy_ev_per_atom": -2.7252, "spacegroup": "Fm-3m"}

{"formula": "InHN3", "functional": "PBE", "state": "optimized geometry", "cell": [[4.398, 0.000, 0.000], [0.000, 4.398, 0.000], [0.000, 0.000, 4.398]], "species": ["N", "In", "H", "N", "N"], "frac_coords": [[0.500, 0.000, 0.000], [0.000, 0.000, 0.000], [0.500, 0.500, 0.500], [0.000, 0.000, 0.500], [0.000, 0.500, 0.000]], "final_energy_ev_per_atom": -3.6440, "spacegroup": "Pm-3m"}

{"formula": "K2InW", "functional": "PBE", "state": "optimized geometry", "cell": [[4.220, 0.000, 0.000], [0.000, 4.234, 0.000], [0.000, 0.000, 5.939]], "species": ["K", "W", "In", "K"], "frac_coords": [[0.000, 0.000, 0.000], [0.500, 0.000, 0.500], [0.000, 0.500, 0.500], [0.500, 0.500, 0.000]], "delta_e_f_mev_per_atom": 1226, "final_energy_ev_per_atom": -3.2453, "spacegroup": "Pmmm"}

{"formula": "Ni2SnH", "functional": "PBE", "state": "optimized geometry", "cell": [[3.280, -0.067, 0.557], [-0.108, 6.314, 1.336], [0.921, 0.704, 4.651]], "species": ["H", "Ni", "Sn", "Ni", "Ni", "Ni", "Sn", "H"], "frac_coords": [[0.468, 0.048, 0.229], [0.888, 0.506, 0.392], [0.220, 0.672, 0.728], [0.553, 0.340, 0.062], [0.888, 0.006, 0.392], [0.553, 0.839, 0.062], [0.220, 0.172, 0.728], [0.468, 0.548, 0.229]], "relative_energy_ev_per_atom": 0.0178, "final_energy_ev_per_atom": -4.7631, "spacegroup": "P1"}

{"formula": "Hf3AlP", "functional": "PBE", "state": "optimized geometry", "cell": [[5.418, 0.000, 0.000], [0.000, 8.969, -0.379], [0.000, -3.265, 8.366]], "species": ["P", "P", "Al", "P", "Hf", "Hf", "Hf", "Al", "P", "Hf", "Hf", "Hf", "Hf", "Al", "Hf", "Hf", "Hf", "Hf", "Al", "Hf"], "frac_coords": [[0.750, 0.598, 0.902], [0.750, 0.098, 0.402], [0.250, 0.437, 0.563], [0.250, 0.902, 0.598], [0.000, 0.250, 0.250], [0.250, 0.070, 0.430], [0.750, 0.361, 0.639], [0.750, 0.563, 0.437], [0.250, 0.402, 0.098], [0.250, 0.570, 0.930], [0.000, 0.750, 0.750], [0.250, 0.639, 0.361], [0.750, 0.861, 0.139], [0.750, 0.063, 0.937], [0.500, 0.250, 0.250], [0.750, 0.930, 0.570], [0.250, 0.139, 0.861], [0.750, 0.430, 0.070], [0.250, 0.937, 0.063], [0.500, 0.750, 0.750]], "relative_energy_ev_per_atom": 0.0000, "delta_e_f_mev_per_atom": -583, "final_energy_ev_per_atom": -8.3857, "spacegroup": "Pmma"}

{"formula": "Ce4AlGe", "functional": "PBE", "state": "optimized geometry", "cell": [[4.751, 0.002, 1.747], [2.550, 5.311, 0.388], [0.607, -1.492, 5.681]], "species": ["Ge", "Ce", "Al", "Ce", "Ce", "Ce"], "frac_coords": [[0.500, 0.500, 0.500], [0.261, 0.080, 0.418], [0.000, 0.000, 0.000], [0.739, 0.582, 0.920], [0.261, 0.418, 0.080], [0.739, 0.920, 0.582]], "delta_e_f_mev_per_atom": -271, "final_energy_ev_per_atom": -5.6200, "spacegroup": "C2/m"}

{"formula": "BiWSeN2", "functional": "PBE", "state": "optimized geometry", "cell": [[4.243, 0.000, 0.000], [0.000, 4.243, 0.000], [0.000, 0.000, 5.644]], "species": ["Se", "N", "W", "Bi", "N"], "frac_coords": [[0.000, 0.000, 0.500], [0.500, 0.000, 0.000], [0.500, 0.500, 0.500], [0.000, 0.000, 0.000], [0.000, 0.500, 0.000]], "relative_energy_ev_per_atom": 1.8300, "formation_energy_uncorrected_mev_per_atom": 2261, "final_energy_ev_per_atom": -5.1329, "spacegroup": "P4/mmm"}

{"formula": "Ac6Ru2Pb", "functional": "PBE", "state": "optimized geometry", "cell": [[-9.157, -3.087, -3.001], [0.581, -7.807, -4.419], [-2.021, -7.953, 3.672]], "species": ["Pb", "Ac", "Ru", "Ru", "Ac", "Ac", "Ac", "Ac", "Ac", "Ru", "Pb", "Ac", "Ac", "Ac", "Ac", "Ru", "Ac", "Ac"], "frac_coords": [[0.750, 0.920, 0.080], [0.851, 0.332, 0.890], [0.663, 0.199, 0.257], [0.837, 0.743, 0.801], [0.363, 0.243, 0.448], [0.351, 0.890, 0.332], [0.137, 0.552, 0.757], [0.549, 0.667, 0.042], [0.637, 0.757, 0.552], [0.163, 0.257, 0.199], [0.250, 0.080, 0.920], [0.951, 0.958, 0.333], [0.863, 0.448, 0.243], [0.649, 0.110, 0.668], [0.149, 0.668, 0.110], [0.337, 0.801, 0.743], [0.049, 0.042, 0.667], [0.451, 0.333, 0.958]], "relative_energy_ev_per_atom": 0.1016, "delta_e_f_mev_per_atom": -140, "final_energy_ev_per_atom": -5.3521, "spacegroup": "C2/c"}

{"formula": "VGaPt", "functional": "PBE", "state": "optimized geometry", "cell": [[-6.258, 9.861, 4.965], [-2.609, -0.185, -2.921], [-1.972, -2.209, 1.901]], "species": ["Ga", "Pt", "V", "V", "Ga", "Pt", "Ga", "Ga", "Pt", "Pt", "V", "V"], "frac_coords": [[0.660, 0.000, 0.500], [0.835, 0.000, 0.000], [0.500, 0.000, 0.000], [0.500, 0.500, 0.500], [0.840, 0.500, 0.500], [0.165, 0.000, 0.000], [0.160, 0.500, 0.500], [0.340, 0.000, 0.500], [0.665, 0.500, 0.000], [0.335, 0.500, 0.000], [0.000, 0.000, 0.500], [0.000, 0.500, 0.000]], "delta_e_f_mev_per_atom": -471, "final_energy_ev_per_atom": -6.5336, "spacegroup": "Cmmm"}

{"formula": "Pm2NdSm2Tm2", "functional": "PBE", "state": "optimized geometry", "cell": [[5.093, 0.000, 0.000], [-2.546, 5.676, 0.260], [0.000, -1.512, 7.930]], "species": ["Pm", "Nd", "Sm", "Tm", "Sm", "Tm", "Pm"], "frac_coords": [[0.857, 0.713, 0.571], [0.000, 0.000, 0.000], [0.571, 0.143, 0.717], [0.285, 0.570, 0.859], [0.429, 0.857, 0.283], [0.715, 0.430, 0.141], [0.143, 0.287, 0.429]], "delta_e_f_mev_per_atom": 18, "final_energy_ev_per_atom": -4.6468, "spacegroup": "C2/m"}

{"formula": "MnGa2Pt8", "functional": "PBE", "state": "optimized geometry", "cell": [[3.867, 0.000, -1.112], [-0.649, 5.847, -2.258], [0.013, 0.377, 7.329]], "species": ["Pt", "Pt", "Pt", "Pt", "Pt", "Pt", "Pt", "Ga", "Ga", "Pt", "Mn"], "frac_coords": [[0.678, 0.933, 0.355], [0.853, 0.787, 0.707], [0.044, 0.731, 0.089], [0.147, 0.213, 0.293], [0.956, 0.269, 0.911], [0.404, 0.539, 0.807], [0.322, 0.067, 0.645], [0.219, 0.654, 0.437], [0.781, 0.346, 0.563], [0.596, 0.461, 0.193], [0.500, 0.000, 0.000]], "delta_e_f_mev_per_atom": -371, "final_energy_ev_per_atom": -6.1485, "spacegroup": "C2/m"}

{"formula": "Sr5Hg2Sb5", "functional": "PBE", "state": "optimized geometry", "cell": [[4.643, 0.000, 1.048], [2.346, 8.572, 0.415], [0.178, -0.654, 10.026]], "species": ["Sb", "Sb", "Sr", "Sb", "Sr", "Sb", "Sr", "Sr", "Sr", "Hg", "Sb", "Hg"], "frac_coords": [[0.072, 0.697, 0.159], [0.698, 0.228, 0.377], [0.696, 0.705, 0.903], [0.000, 0.000, 0.000], [0.000, 0.500, 0.500], [0.928, 0.303, 0.841], [0.304, 0.295, 0.097], [0.632, 0.054, 0.683], [0.368, 0.946, 0.317], [0.578, 0.560, 0.284], [0.302, 0.772, 0.623], [0.422, 0.440, 0.716]], "formation_energy_uncorrected_mev_per_atom": -760, "final_energy_ev_per_atom": -3.2289, "spacegroup": "C2/m"}

{"formula": "Er2ZrAl", "functional": "PBE", "state": "optimized geometry", "cell": [[5.201, 0.000, 0.000], [2.600, 4.504, 0.000], [2.600, 1.501, 4.247]], "species": ["Er", "Al", "Er", "Zr"], "frac_coords": [[0.250, 0.250, 0.250], [0.000, 0.000, 0.000], [0.750, 0.750, 0.750], [0.500, 0.500, 0.500]], "relative_energy_ev_per_atom": 0.1553, "delta_e_f_mev_per_atom": -17, "final_energy_ev_per_atom": -5.3713, "spacegroup": "Fm-3m"}

{"formula": "PuHCl", "functional": "PBE", "state": "optimized geometry", "cell": [[-1.754, -1.643, -3.730], [2.562, -2.212, -2.870], [-0.482, -4.385, -0.481]], "species": ["Pu", "H", "Cl"], "frac_coords": [[0.250, 0.250, 0.250], [0.000, 0.000, 0.000], [0.500, 0.500, 0.500]], "final_energy_ev_per_atom": -7.3354, "spacegroup": "F-43m"}

{"formula": "CuSe2I", "functional": "PBE", "state": "optimized geometry", "cell": [[0.000, 3.526, 3.526], [3.526, 0.000, 3.526], [3.526, 3.526, 0.000]], "species": ["Se", "Se", "Cu", "I"], "frac_coords": [[0.750, 0.750, 0.750], [0.250, 0.250, 0.250], [0.000, 0.000, 0.000], [0.500, 0.500, 0.500]], "formation_energy_uncorrected_mev_per_atom": 771, "final_energy_ev_per_atom": -2.3828, "spacegroup": "Fm-3m"}

{"formula": "FeCu2Ni3", "functional": "PBE", "state": "optimized geometry", "cell": [[-1.004, -4.280, -1.125], [4.526, -0.541, -1.980], [-0.086, -1.689, 6.502]], "species": ["Ni", "Ni", "Ni", "Ni", "Fe", "Fe", "Cu", "Ni", "Cu", "Cu", "Cu", "Ni"], "frac_coords": [[0.250, 0.154, 0.307], [0.750, 0.928, 0.359], [0.250, 0.072, 0.641], [0.750, 0.430, 0.359], [0.250, 0.658, 0.316], [0.750, 0.342, 0.684], [0.000, 0.751, 0.000], [0.250, 0.570, 0.641], [0.500, 0.249, 0.000], [0.000, 0.249, 0.000], [0.500, 0.751, 0.000], [0.750, 0.846, 0.693]], "delta_e_f_mev_per_atom": 134, "final_energy_ev_per_atom": -5.5328, "spacegroup": "Cmcm"}

{"formula": "PuRhAu", "functional": "PBE", "state": "optimized geometry", "cell": [[-5.036, 5.731, 0.754], [-2.774, 3.078, 2.876], [1.742, 8.242, 0.594]], "species": ["Rh", "Pu", "Au", "Au", "Pu", "Rh"], "frac_coords": [[0.594, 0.982, 0.157], [0.786, 0.751, 0.485], [0.929, 0.789, 0.751], [0.240, 0.868, 0.244], [0.086, 0.905, 0.956], [0.457, 0.654, 0.525]], "relative_energy_ev_per_atom": 0.0709, "delta_e_f_mev_per_atom": -321, "final_energy_ev_per_atom": -8.6410, "spacegroup": "Cm"}

{"formula": "Y2Cd", "functional": "PBE", "state": "optimized geometry", "cell": [[-1.128, 10.184, 10.992], [-5.733, 10.222, 9.405], [2.872, -11.970, -8.619]], "species": ["Y", "Cd", "Y", "Cd", "Y", "Y"], "frac_coords": [[0.573, 0.573, 0.000], [0.000, 0.000, 0.000], [0.427, 0.427, 0.000], [0.750, 0.250, 0.500], [0.177, 0.677, 0.500], [0.323, 0.823, 0.500]], "delta_e_f_mev_per_atom": -41, "final_energy_ev_per_atom": -4.6549, "spacegroup": "I4_1/amd"}

{"formula": "AlSn2MoRu", "functional": "PBE", "state": "optimized geometry", "cell": [[-0.937, -4.972, -0.174], [4.623, -0.844, -0.773], [0.776, -0.321, 4.993]], "species": ["Sn", "Mo", "Sn", "Al", "Ru"], "frac_coords": [[0.500, 0.000, 0.000], [0.000, 0.500, 0.000], [0.000, 0.000, 0.500], [0.500, 0.500, 0.500], [0.000, 0.000, 0.000]], "delta_e_f_mev_per_atom": 835, "final_energy_ev_per_atom": -5.5363, "spacegroup": "P4/mmm"}

{"formula": "InRePI2", "functional": "PBE", "state": "optimized geometry", "cell": [[6.009, 0.000, 0.000], [0.000, 5.087, 0.000], [0.000, 0.000, 6.009]], "species": ["P", "I", "I", "Re", "In"], "frac_coords": [[0.000, 0.500, 0.000], [0.500, 0.000, 0.000], [0.000, 0.000, 0.500], [0.500, 0.500, 0.500], [0.000, 0.000, 0.000]], "formation_energy_uncorrected_mev_per_atom": 1532, "final_energy_ev_per_atom": -3.2069, "spacegroup": "P4/mmm"}